Record 1
A plane-wave DFT calculation with PBE was carried out for a relaxed Tb3Pr6Dy2Tm crystal.

Output
Its energy relative to the elements is 0.01 eV per atom. Its raw total energy is -4.676 eV/atom. The calculation puts the density at 7.47 g/cm³. The space group is No. 12. The value obtained for the size of the total moment is 0.00 μB per formula unit.

Lattice parameters (Å, degrees): 6.3082 6.3082 11.8955 95.05 95.05 120.00
Closest atoms and distances in Å follow each position.
Fractional coordinates of all 12 atoms:
Pr 0.0833 0.4162 0.2489  2 Dy 3.59-3.60, 1 Tm 3.59, 3 Tb 3.61-3.62, 6 Pr 3.64
Tb 0.8333 0.1667 0.5000  6 Pr 3.61-3.62, 6 Tb 3.64
Pr 0.2496 0.2496 0.7509  1 Tm 3.59, 2 Dy 3.60, 3 Tb 3.61, 6 Pr 3.64
Pr 0.5838 0.9167 0.7511  2 Dy 3.59-3.60, 1 Tm 3.59, 3 Tb 3.61-3.62, 6 Pr 3.64
Tb 0.5000 0.5000 0.5000  6 Pr 3.61, 6 Tb 3.64
Pr 0.7504 0.7504 0.2491  1 Tm 3.59, 2 Dy 3.60, 3 Tb 3.61, 6 Pr 3.64
Tb 0.1667 0.8333 0.5000  6 Pr 3.61-3.62, 6 Tb 3.64
Pr 0.9167 0.5838 0.7511  2 Dy 3.59-3.60, 1 Tm 3.59, 3 Tb 3.61-3.62, 6 Pr 3.64
Dy 0.6667 0.3333 0.0000  6 Pr 3.59-3.60, 3 Tm 3.64, 3 Dy 3.64
Tm 0.0000 0.0000 0.0000  6 Pr 3.59, 6 Dy 3.64
Dy 0.3333 0.6667 0.0000  6 Pr 3.59-3.60, 3 Tm 3.64, 3 Dy 3.64
Pr 0.4162 0.0833 0.2489  2 Dy 3.59-3.60, 1 Tm 3.59, 3 Tb 3.61-3.62, 6 Pr 3.64

Record 2
A plane-wave DFT calculation with PBE was carried out for a relaxed Pu3Cu2As4P2 crystal.

Output
Its energy relative to the elements is -0.51 eV per atom. Its raw total energy is -7.841 eV/atom. The calculation puts the density at 9.57 g/cm³. The space group is No. 139. The value obtained for the size of the total moment is 3.74 μB per formula unit.

Lattice parameters (Å, degrees): 4.0371 4.0371 13.3056 98.73 98.73 90.00
Closest atoms and distances in Å follow each position.
Fractional coordinates of all 11 atoms:
Cu 0.4549 0.4549 0.9099  1 Cu 2.34, 4 As 2.49
As 0.3991 0.8991 0.7982  2 Cu 2.49
Pu 0.0000 0.0000 0.0000  8 Cu 3.09, 8 As 3.31
Pu 0.1900 0.1900 0.3801  5 P 2.73-2.88
P 0.7050 0.7050 0.4100  5 Pu 2.73-2.88
P 0.2950 0.2950 0.5900  5 Pu 2.73-2.88
As 0.6009 0.1009 0.2018  2 Cu 2.49
As 0.8991 0.3991 0.7982  2 Cu 2.49
Pu 0.8100 0.8100 0.6199  5 P 2.73-2.88
Cu 0.5451 0.5451 0.0901  1 Cu 2.34, 4 As 2.49
As 0.1009 0.6009 0.2018  2 Cu 2.49

Record 3
A plane-wave DFT calculation with PBE was carried out for a relaxed LiTlBrO crystal.

Output
Its raw total energy is -3.763 eV/atom. As for the formation energy (no corrections): -1035 meV/atom. The calculation puts the density at 6.24 g/cm³. The space group is No. 166. The value obtained for the size of the total moment is 0.00 μB per formula unit.

Lattice parameters (Å, degrees): 3.7242 3.7242 13.7844 82.24 82.24 60.00
Closest atoms and distances in Å follow each position.
Fractional coordinates of all 8 atoms:
Br 0.6063 0.6063 0.1812  3 Li 2.61
O 0.1926 0.1926 0.4221  1 Li 1.81
O 0.8074 0.8074 0.5779  1 Li 1.81
Tl 0.5000 0.5000 0.5000  6 O 2.40
Li 0.7631 0.7631 0.7106  1 O 1.81
Br 0.3937 0.3937 0.8188  3 Li 2.61
Tl 0.0000 0.0000 0.0000  6 Br 3.27
Li 0.2369 0.2369 0.2894  1 O 1.81

Record 4
A plane-wave DFT calculation with PBE was carried out for a relaxed LaDy2ErSe6 crystal.

Output
Its raw total energy is -5.838 eV/atom. As for the formation energy (no corrections): -1878 meV/atom. The calculation puts the density at 6.11 g/cm³. The space group is No. 146. The value obtained for the size of the total moment is 0.00 μB per formula unit.

Lattice parameters (Å, degrees): 7.3058 7.3057 7.7425 61.84 61.84 59.99
Closest atoms and distances in Å follow each position.
Fractional coordinates of all 10 atoms:
Dy 0.5170 0.5169 0.4493  6 Se 2.85-2.90
Se 0.1361 0.3909 0.7489  2 Dy 2.83-2.90, 1 Er 2.88, 1 La 2.97
La 0.8102 0.8102 0.5692  6 Se 2.97-3.08
Se 0.3908 0.7243 0.7488  2 Dy 2.83-2.90, 1 Er 2.88, 1 La 2.97
Se 0.9183 0.6084 0.2473  1 Er 2.85, 2 Dy 2.85-2.91, 1 La 3.08
Se 0.6084 0.2262 0.2472  1 Er 2.85, 2 Dy 2.85-2.91, 1 La 3.08
Dy 0.0118 0.0119 0.9646  6 Se 2.83-2.91
Er 0.3187 0.3187 0.0439  6 Se 2.85-2.88
Se 0.2262 0.9182 0.2472  1 Er 2.85, 2 Dy 2.85-2.91, 1 La 3.08
Se 0.7243 0.1360 0.7489  2 Dy 2.83-2.90, 1 Er 2.88, 1 La 2.97

Record 5
A plane-wave DFT calculation with PBE was carried out for a relaxed Ba2Ti13O22 crystal.

Output
Its raw total energy is -8.777 eV/atom. As for the formation energy (no corrections): -2951 meV/atom. The calculation puts the density at 4.94 g/cm³. The space group is No. 64. The value obtained for the size of the total moment is 0.00 μB per formula unit.

Lattice parameters (Å, degrees): 7.7257 7.7257 14.2207 90.00 90.00 98.59
Closest atoms and distances in Å follow each position.
Fractional coordinates of all 74 atoms:
Ti 0.2030 0.9432 0.1735  6 O 2.01-2.10
O 0.9962 0.9962 0.2510  3 Ti 2.00-2.03
Ti 0.9214 0.4258 0.8469  6 O 1.97-2.17
O 0.7116 0.4704 0.9194  3 Ti 1.99-2.06
O 0.0358 0.7874 0.0800  4 Ti 2.02-2.11
Ti 0.9258 0.4214 0.6531  6 O 1.97-2.17
Ti 0.0000 0.0000 0.0000  6 O 2.05-2.09
Ti 0.2560 0.7440 0.0000  6 O 1.99-2.11
O 0.6187 0.8759 0.2522  4 Ti 2.05-2.17
Ba 0.1670 0.1670 0.4124  12 O 2.86-3.12
O 0.4028 0.9026 0.0892  3 Ti 1.97-2.02
Ti 0.1657 0.1657 0.6670  6 O 2.00-2.09
O 0.7694 0.2694 0.7500  4 Ti 2.01-2.08
Ti 0.2970 0.5568 0.6735  6 O 2.01-2.10
O 0.0296 0.7884 0.4194  3 Ti 1.99-2.06
Ti 0.7030 0.4432 0.3265  6 O 2.01-2.10
Ti 0.4214 0.9258 0.6531  6 O 1.97-2.17
O 0.5972 0.0974 0.9108  3 Ti 1.97-2.02
Ti 0.3344 0.3344 0.1671  6 O 2.00-2.09
O 0.2306 0.7306 0.2500  4 Ti 2.01-2.08
Ti 0.0786 0.5742 0.1531  6 O 1.97-2.17
O 0.9704 0.2116 0.5806  3 Ti 1.99-2.06
Ba 0.3331 0.3331 0.9124  12 O 2.86-3.13
O 0.1187 0.3759 0.2478  4 Ti 2.05-2.17
O 0.4962 0.4962 0.2490  3 Ti 2.00-2.03
Ti 0.8343 0.8343 0.3330  6 O 2.00-2.09
O 0.8759 0.6187 0.2522  4 Ti 2.05-2.17
Ba 0.6669 0.6669 0.0876  12 O 2.86-3.13
O 0.0972 0.5974 0.5891  3 Ti 1.97-2.02
O 0.5358 0.2874 0.4200  4 Ti 2.02-2.11
Ti 0.6656 0.6656 0.8329  6 O 2.00-2.09
Ti 0.7560 0.2440 0.5000  6 O 1.99-2.11
O 0.1241 0.3813 0.7478  4 Ti 2.05-2.17
Ti 0.0568 0.7970 0.8265  6 O 2.01-2.10
O 0.3413 0.3413 0.5942  4 Ti 2.05-2.09
Ti 0.4258 0.9214 0.8469  6 O 1.97-2.17
Ti 0.4432 0.7030 0.3265  6 O 2.01-2.10
Ti 0.5000 0.5000 0.5000  6 O 2.05-2.09
Ti 0.5742 0.0786 0.1531  6 O 1.97-2.17
Ti 0.5786 0.0742 0.3469  6 O 1.97-2.17
O 0.2126 0.9642 0.9200  4 Ti 2.02-2.11
O 0.2884 0.5296 0.0806  3 Ti 1.99-2.06
O 0.6587 0.6587 0.4058  4 Ti 2.05-2.09
O 0.7126 0.4642 0.5800  4 Ti 2.02-2.11
O 0.8413 0.8413 0.9058  4 Ti 2.05-2.09
O 0.4704 0.7116 0.9194  3 Ti 1.99-2.06
O 0.1587 0.1587 0.0942  4 Ti 2.05-2.09
O 0.2694 0.7694 0.7500  4 Ti 2.01-2.08
Ba 0.8330 0.8330 0.5876  12 O 2.86-3.12
O 0.4026 0.9028 0.4109  3 Ti 1.97-2.02
O 0.7874 0.0358 0.0800  4 Ti 2.02-2.11
Ti 0.2440 0.7560 0.5000  6 O 1.99-2.11
O 0.8813 0.6241 0.7522  4 Ti 2.05-2.17
O 0.3759 0.1187 0.2478  4 Ti 2.05-2.17
O 0.7306 0.2306 0.2500  4 Ti 2.01-2.08
O 0.4642 0.7126 0.5800  4 Ti 2.02-2.11
O 0.5296 0.2884 0.0806  3 Ti 1.99-2.06
O 0.9028 0.4026 0.4109  3 Ti 1.97-2.02
O 0.3813 0.1241 0.7478  4 Ti 2.05-2.17
O 0.6241 0.8813 0.7522  4 Ti 2.05-2.17
Ti 0.7970 0.0568 0.8265  6 O 2.01-2.10
Ti 0.5568 0.2970 0.6735  6 O 2.01-2.10
O 0.5038 0.5038 0.7510  3 Ti 2.00-2.03
O 0.0038 0.0038 0.7490  3 Ti 2.00-2.03
O 0.7884 0.0296 0.4194  3 Ti 1.99-2.06
Ti 0.9432 0.2030 0.1735  6 O 2.01-2.10
O 0.0974 0.5972 0.9108  3 Ti 1.97-2.02
Ti 0.7440 0.2560 0.0000  6 O 1.99-2.11
O 0.2116 0.9704 0.5806  3 Ti 1.99-2.06
O 0.9642 0.2126 0.9200  4 Ti 2.02-2.11
Ti 0.0742 0.5786 0.3469  6 O 1.97-2.17
O 0.2874 0.5358 0.4200  4 Ti 2.02-2.11
O 0.5974 0.0972 0.5891  3 Ti 1.97-2.02
O 0.9026 0.4028 0.0892  3 Ti 1.97-2.02

Record 6
A plane-wave DFT calculation with PBE was carried out for a relaxed ErMgAlAg crystal.

Output
Its energy relative to the elements is -0.29 eV per atom. Its raw total energy is -3.481 eV/atom. The calculation puts the density at 6.49 g/cm³. The space group is No. 216. The value obtained for the size of the total moment is 0.00 μB per formula unit.

Lattice parameters (Å, degrees): 4.9063 4.9063 4.9063 60.00 60.00 60.00
Closest atoms and distances in Å follow each position.
Fractional coordinates of all 4 atoms:
Al 0.7500 0.7500 0.7500  4 Mg 3.00, 4 Er 3.00
Er 0.0000 0.0000 0.0000  4 Al 3.00, 4 Ag 3.00
Ag 0.2500 0.2500 0.2500  4 Er 3.00, 4 Mg 3.00
Mg 0.5000 0.5000 0.5000  4 Al 3.00, 4 Ag 3.00

Record 7
A plane-wave DFT calculation with PBE was carried out for a relaxed DyMg3Au4 crystal.

Output
Its energy relative to the elements is -0.67 eV per atom. Its raw total energy is -3.483 eV/atom. The calculation puts the density at 10.84 g/cm³. The space group is No. 123. The value obtained for the size of the total moment is 0.00 μB per formula unit.

Lattice parameters (Å, degrees): 4.8044 6.7958 9.6048 90.00 90.00 90.00
Closest atoms and distances in Å follow each position.
Fractional coordinates of all 16 atoms:
Au 0.0002 0.2353 0.7500  6 Mg 2.88-3.00, 2 Dy 3.00, 1 Au 3.20
Au 0.5000 0.7643 0.5000  6 Mg 2.89-3.00, 2 Dy 3.00, 1 Au 3.20
Dy 0.0000 0.5000 0.5000  8 Au 3.00
Mg 0.5001 0.0000 0.7500  8 Au 2.89
Au 0.5000 0.2357 0.5000  6 Mg 2.89-3.00, 2 Dy 3.00, 1 Au 3.20
Mg 0.0000 0.0000 0.0000  8 Au 2.88-2.89
Au 0.9998 0.2353 0.2500  6 Mg 2.88-3.00, 2 Dy 3.00, 1 Au 3.20
Mg 0.5000 0.5000 0.2500  8 Au 3.00
Au 0.5000 0.2357 0.0000  6 Mg 2.89-3.00, 2 Dy 3.00, 1 Au 3.20
Mg 0.0000 0.0000 0.5000  8 Au 2.88-2.89
Au 0.0002 0.7647 0.7500  6 Mg 2.88-3.00, 2 Dy 3.00, 1 Au 3.20
Dy 0.0000 0.5000 0.0000  8 Au 3.00
Mg 0.5000 0.5000 0.7500  8 Au 3.00
Au 0.5000 0.7643 0.0000  6 Mg 2.89-3.00, 2 Dy 3.00, 1 Au 3.20
Au 0.9998 0.7647 0.2500  6 Mg 2.88-3.00, 2 Dy 3.00, 1 Au 3.20
Mg 0.4999 0.0000 0.2500  8 Au 2.89

Record 8
A plane-wave DFT calculation with PBE was carried out for a relaxed AlInAs2Br crystal.

Output
Its raw total energy is -2.876 eV/atom. As for the formation energy (no corrections): 614 meV/atom. The calculation puts the density at 3.91 g/cm³. The space group is No. 123. The value obtained for the size of the total moment is 1.06 μB per formula unit. For the offset from the most stable computed form, the calculation gives 477 meV per atom.

Lattice parameters (Å, degrees): 5.2439 5.2439 5.7324 90.00 90.00 90.00
Closest atoms and distances in Å follow each position.
Fractional coordinates of all 5 atoms:
Br 0.0000 0.0000 0.5000  2 In 2.87
Al 0.5000 0.5000 0.5000  4 Br 3.71, 8 As 3.88
As 0.0000 0.5000 0.0000  2 In 2.62
As 0.5000 0.0000 0.0000  2 In 2.62
In 0.0000 0.0000 0.0000  4 As 2.62, 2 Br 2.87

| no. | calculated volume (Å³/f.u.) |
| --- | --- |
| 1 | 404 |
| 2 | 212 |
| 3 | 82 |
| 4 | 300 |
| 5 | 420 |
| 6 | 84 |
| 7 | 157 |
| 8 | 158 |